## Th4PC2N (PBE-GGA)

Data for Th4PC2N after structural relaxation. Values from VASP.

Quantum ESPRESSO input file:
```
&SYSTEM
  ibrav = 0, nat = 8, ntyp = 4
/
ATOMIC_SPECIES
P 30.97 P.upf
Th 232.04 Th.upf
N 14.01 N.upf
C 12.01 C.upf
CELL_PARAMETERS angstrom
-2.067 2.449 -2.135
-0.277 -4.525 -4.922
-5.242 -0.850 4.100
ATOMIC_POSITIONS angstrom
P -1.172 -1.038 -3.529
Th -5.122 -2.835 -1.766
N 0.000 0.000 0.000
Th -2.465 -0.091 -1.191
C -3.655 0.799 0.982
Th -3.903 -1.667 1.867
C -2.760 -2.688 -0.411
Th -1.616 -3.708 -2.689
```

SG: No. 10
ΔE_f (raw): -0.843 eV per atom


## Th6PC2N3 (PBE-GGA)

Data for Th6PC2N3 after structural relaxation. Values from VASP.

Quantum ESPRESSO input file:
```
&SYSTEM
  ibrav = 0, nat = 12, ntyp = 4
/
ATOMIC_SPECIES
Th 232.04 Th.upf
N 14.01 N.upf
C 12.01 C.upf
P 30.97 P.upf
CELL_PARAMETERS angstrom
-2.447 -1.488 2.476
-0.917 -6.039 -4.536
7.513 -1.563 3.593
ATOMIC_POSITIONS angstrom
Th 3.795 -4.051 1.316
Th 0.891 -2.103 2.512
Th 4.811 -4.699 4.826
N 1.397 -5.823 -2.119
C 1.825 -2.815 0.112
Th 3.258 -6.986 -0.978
C 2.324 -6.274 1.421
Th 0.355 -5.038 0.217
N 2.753 -3.267 3.653
Th -0.662 -4.391 -3.293
P -1.224 -0.744 1.238
N -1.682 -3.763 -1.030
```

SG: No. 12
ΔE_f (raw): -1.084 eV per atom


## Ti6PC2N3 (PBE-GGA)

Data for Ti6PC2N3 after structural relaxation. Values from VASP.

Quantum ESPRESSO input file:
```
&SYSTEM
  ibrav = 0, nat = 12, ntyp = 4
/
ATOMIC_SPECIES
Ti 47.87 Ti.upf
P 30.97 P.upf
C 12.01 C.upf
N 14.01 N.upf
CELL_PARAMETERS angstrom
3.098 0.000 0.000
0.000 6.320 0.233
-1.549 -1.814 6.552
ATOMIC_POSITIONS angstrom
Ti 1.549 3.047 2.363
Ti 0.000 1.459 4.421
Ti 0.000 4.525 0.169
P 1.549 0.000 0.000
C 0.000 1.507 2.281
N 1.549 3.160 0.116
Ti 1.549 -0.019 6.616
N 0.000 4.643 2.380
Ti 0.000 4.518 4.410
N 1.549 -0.137 4.405
C 1.549 2.999 4.504
Ti 1.549 -0.012 2.374
```

SG: No. 12
ΔE_f (raw): -1.205 eV per atom


## Ti6PC3N2 (PBE-GGA)

Data for Ti6PC3N2 after structural relaxation. Values from VASP.

Quantum ESPRESSO input file:
```
&SYSTEM
  ibrav = 0, nat = 12, ntyp = 4
/
ATOMIC_SPECIES
C 12.01 C.upf
Ti 47.87 Ti.upf
P 30.97 P.upf
N 14.01 N.upf
CELL_PARAMETERS angstrom
3.108 0.000 0.000
0.000 6.313 0.223
-1.554 -1.821 6.582
ATOMIC_POSITIONS angstrom
C 0.000 4.642 2.370
Ti 0.000 1.413 4.452
Ti 0.000 4.565 4.434
P 1.554 0.000 0.000
Ti 1.554 -0.074 2.371
Ti 0.000 1.757 0.070
N 0.000 1.512 2.322
Ti 1.554 3.078 2.353
C 1.554 3.156 0.112
N 1.554 2.979 4.483
C 1.554 -0.151 4.435
Ti 1.554 2.734 6.736
```

SG: No. 12
ΔE_f (raw): -1.063 eV per atom